# 1
5
Lattice="5.7925 0.0000 0.0000 0.0000 5.7925 0.0000 0.0000 0.0000 5.7925" Properties=species:S:1:pos:R:3 comment="RbBi3Os, relaxed, DFT PBEsol" e_tot_ev_per_atom=-2.573 total_magnetization_mub_per_fu=3.6 delta_e_f_ev_per_atom=2.6468 e_above_lowest_polymorph_mev_per_atom=2113 pbc="T T T"
Rb 0.0000 0.0000 0.0000
Bi 0.0000 0.0000 2.8963
Bi 0.0000 2.8963 0.0000
Bi 2.8963 0.0000 0.0000
Os 2.8963 2.8963 2.8963

***

# 2
5
Lattice="4.7377 0.0000 0.0000 0.0000 4.7377 0.0000 0.0000 0.0000 4.8499" Properties=species:S:1:pos:R:3 comment="RbBiOsRh2, relaxed, DFT PBEsol" e_tot_ev_per_atom=-4.112 total_magnetization_mub_per_fu=1.3 delta_e_f_ev_per_atom=2.6487 pbc="T T T"
Rb 0.0000 0.0000 0.0000
Bi 2.3688 2.3688 2.4250
Os 0.0000 0.0000 2.4250
Rh 0.0000 2.3688 0.0000
Rh 2.3688 0.0000 0.0000